Computed, not measured: a relaxed structure of GeBi3 at the PBE-GGA level of DFT.

Lattice parameters (Å, degrees): 4.4202 6.0852 4.9435 90.00 90.00 90.00
Atoms (fractional coordinates):
Ge1 0.0000 0.0000 0.0000
Bi1 0.0000 0.5000 0.0026
Bi2 0.5000 0.0000 0.6270
Bi3 0.5000 0.5000 0.4314

Properties
* calculated density: 8.7 Mg/m³
* excess energy over the best structure of this formula in the dataset: 0.00 eV per formula unit
* total DFT energy (no corrections): -3.90 eV per atom
* V: 33.2 Å³ per atom

=====

Computed, not measured: a relaxed structure of GeBi at the PBE-GGA level of DFT.

Lattice parameters (Å, degrees): 4.0219 4.4942 6.7180 108.36 106.29 92.67
Atoms (fractional coordinates):
Ge1 0.0000 0.0000 0.0000
Ge2 0.4706 0.6220 0.9998
Bi1 0.3714 0.0146 0.6346
Bi2 0.7456 0.3794 0.3662

Properties
* calculated density: 8.5 Mg/m³
* total DFT energy (no corrections): -4.03 eV per atom
* V: 27.4 Å³ per atom